The following is a DFT calculation (PBE-GGA) of a relaxed LiCoAgB crystal.

a b c (Å): 3.9003 3.9003 3.9003
angles (deg): 60.00 60.00 60.00
Positions (direct):
Li1 0.0000 0.0000 0.0000
Co1 0.7500 0.7500 0.7500
Ag1 0.2500 0.2500 0.2500
B1 0.5000 0.5000 0.5000

Computed properties:
* crystal system: cubic
* energy relative to the lowest polymorph listed for this composition: 0.00 eV/f.u.

---

The following is a DFT calculation (PBE-GGA) of a relaxed LiCoAgB crystal.

a b c (Å): 4.0076 4.0076 4.0076
angles (deg): 60.00 60.00 60.00
Positions (direct):
Li1 0.0000 0.0000 0.0000
Co1 0.5000 0.5000 0.5000
Ag1 0.7500 0.7500 0.7500
B1 0.2500 0.2500 0.2500

Computed properties:
* crystal system: cubic
* energy relative to the lowest polymorph listed for this composition: 0.69 eV/f.u.